Entry 1:
Sn3HgAs2 | PBE-GGA | optimized geometry

Calculated values
**ρ**: 7.0 g/cm3
**Energy of formation**: 0.044 eV per atom

Unit cell a=6.8426 b=4.3181 c=11.4478 alpha=90.00 beta=99.20 gamma=90.00
Last column: nearest neighbours and their distance in Å.
Space group P2_1/m (No. 11)
Asymmetric unit:
Sn 0.0070 0.2500 0.1387 x2  2 As 2.75-2.95
Sn 0.2537 0.2500 0.5405 x2  3 As 2.77-2.78
Sn 0.3257 0.2500 0.9091 x2  3 As 2.78-2.84
Hg 0.3078 0.7500 0.3285 x2  5 Sn 3.13-3.49, 4 As 3.18-3.49
As 0.0785 0.7500 0.6346 x2  4 Sn 2.75-2.78
As 0.4413 0.2500 0.1529 x2  4 Sn 2.78-2.95

---

Entry 2:
TaSn2HgAs | PBE-GGA | optimized geometry

Calculated values
**ρ**: 7.4 g/cm3
**Energy of formation**: 0.899 eV per atom

Unit cell a=5.4023 b=5.4023 c=5.3470 alpha=90.00 beta=90.00 gamma=90.00
Last column: nearest neighbours and their distance in Å.
Space group P4/mmm (No. 123)
Asymmetric unit:
Ta 0.0000 0.0000 0.0000 x1  2 Hg 2.67, 4 Sn 2.70
Sn 0.0000 0.5000 0.0000 x2  2 Ta 2.70
Hg 0.0000 0.0000 0.5000 x1  2 Ta 2.67
As 0.5000 0.5000 0.5000 x1  8 Sn 3.80, 4 Hg 3.82

---

Entry 3:
TcSn2HgAs | PBE-GGA | optimized geometry

Calculated values
**ρ**: 6.8 g/cm3
**Energy of formation**: 1.171 eV per atom

Unit cell a=5.3870 b=5.3870 c=5.1572 alpha=90.00 beta=90.00 gamma=90.00
Last column: nearest neighbours and their distance in Å.
Space group P4/mmm (No. 123)
Asymmetric unit:
Tc 0.0000 0.0000 0.0000 x1  8 Sn 3.73, 4 Hg 3.81
Sn 0.0000 0.5000 0.5000 x2  2 As 2.69
Hg 0.5000 0.5000 0.0000 x1  2 As 2.58
As 0.5000 0.5000 0.5000 x1  2 Hg 2.58, 4 Sn 2.69

---

Entry 4:
SnHgTeAs2 | PBE-GGA | optimized geometry

Calculated values
**ρ**: 6.5 g/cm3
**Formation energy without anion corrections**: 0.78 eV/atom

Unit cell a=5.1400 b=5.1400 c=5.7589 alpha=90.00 beta=90.00 gamma=90.00
Last column: nearest neighbours and their distance in Å.
Space group P4/mmm (No. 123)
Asymmetric unit:
Sn 0.0000 0.0000 0.0000 x1  2 Hg 2.88
Hg 0.0000 0.0000 0.5000 x1  4 As 2.57
Te 0.5000 0.5000 0.0000 x1  4 Sn 3.63, 8 As 3.86
As 0.0000 0.5000 0.5000 x2  2 Hg 2.57

---

Entry 5:
Sn2HgTeAs | PBE-GGA | optimized geometry

Calculated values
**ρ**: 6.6 g/cm3
**Formation energy without anion corrections**: 0.25 eV/atom

Unit cell a=5.5991 b=5.5991 c=5.1492 alpha=90.00 beta=90.00 gamma=90.00
Last column: nearest neighbours and their distance in Å.
Space group P4/mmm (No. 123)
Asymmetric unit:
Sn 0.0000 0.5000 0.0000 x2  2 As 2.80
Hg 0.0000 0.0000 0.5000 x1  2 As 2.57
Te 0.5000 0.5000 0.5000 x1  8 Sn 3.80, 4 Hg 3.96
As 0.0000 0.0000 0.0000 x1  2 Hg 2.57, 4 Sn 2.80

---

Entry 6:
TlSn2HgAs | PBE-GGA | optimized geometry

Calculated values
**ρ**: 8.0 g/cm3
**Energy of formation**: 0.045 eV per atom

Unit cell a=7.7467 b=4.0670 c=10.2345 alpha=90.00 beta=111.75 gamma=90.00
Last column: nearest neighbours and their distance in Å.
Space group P2_1/m (No. 11)
Asymmetric unit:
Tl 0.2016 0.2500 0.1685 x2  3 As 3.20-3.24, 1 Hg 3.35, 1 Sn 3.44
Sn 0.0497 0.7500 0.6161 x2  2 Sn 3.00, 1 As 3.04, 1 Hg 3.04
Sn 0.3981 0.2500 0.8290 x2  3 As 2.78-2.94, 1 Hg 3.08
Hg 0.3722 0.2500 0.5213 x2  2 Hg 2.98, 2 Sn 3.04-3.08
As 0.2419 0.7500 0.9346 x2  4 Sn 2.78-3.04

---

Question: Number 1 is which compound?
Answer: Sn3HgAs2

---

Question: Look up the ρ of the fifth one.
Answer: 6.6 g/cm3

---

Question: What is the ρ in the third record?
Answer: 6.8 g/cm3

---

Question: Look up the ρ of the fourth one.
Answer: 6.5 g/cm3